i) A geometry-optimized InGe2Sb2 structure. Source: Alexandria, functional PBE-GGA.

Geometry as extended XYZ:
```
5
Lattice="4.4002 0.0000 0.0000 0.0000 4.4002 0.0000 2.2001 2.2001 7.2289" Properties=species:S:1:pos:R:3 pbc="T T T"
Sb 4.4002 4.4002 5.5096
Sb 2.2001 2.2001 1.7194
Ge 2.2001 4.4002 3.6145
Ge 4.4002 2.2001 3.6145
In 0.0000 0.0000 0.0000
```

The value obtained for the spin magnetization is 0.00 μB per atom. The value obtained for the density of states at the Fermi level is 1.53 states/eV per cell. Its space group is I4/mmm.


ii) A geometry-optimized InGe2Sb2 structure. Source: Alexandria, functional PBE-GGA.

Geometry as extended XYZ:
```
5
Lattice="-4.8259 2.4416 0.2058 -2.3763 -4.5528 -1.7082 -4.1003 -2.4034 3.5353" Properties=species:S:1:pos:R:3 pbc="T T T"
Sb -6.2636 -0.5087 1.4949
Sb -5.0388 -4.0059 0.5379
In 0.0000 0.0000 0.0000
Ge -3.7438 -1.4410 0.4746
Ge -7.5586 -3.0736 1.5583
```

The value obtained for the spin magnetization is 0.00 μB per atom. The value obtained for the density of states at the Fermi level is 2.38 states/eV per cell. Its space group is I4/mmm.


Short version: i) is the least stable of them.